# BaTa2Te PBE optimized geometry
# V: 25.77 Å³ per atom
# raw formation energy: 0.730 eV/atom
# calculated total energy: -51.702 eV/cell
# total moment: 0.00 μB per atom
data_BaTa2Te
_chemical_formula_sum 'Ba2 Ta4 Te2'
_cell_length_a 3.2184
_cell_length_b 5.5548
_cell_length_c 11.5326
_cell_angle_alpha 90.00
_cell_angle_beta 90.00
_cell_angle_gamma 90.00
_space_group_name_H-M_alt 'I m m m'
_space_group_IT_number 71
_space_group_name_Hall '-I 2 2'
loop_
_atom_site_label
_atom_site_fract_x
_atom_site_fract_y
_atom_site_fract_z
_atom_site_occupancy
Ba1 0.0000 0.0000 0.0000 1
Ta1 0.0000 0.5000 0.2119 1
Te1 0.0000 0.0000 0.5000 1